(1)
## CuTe2Mo (SCAN)

Data for CuTe2Mo at its PBEsol-relaxed geometry.

Output
relative energy among the computed polymorphs	13	kJ/mol of formula units
energy relative to the elements, uncorrected	0.142	eV/atom

Unit cell a=7.694 b=3.544 c=6.791 alpha=90.00 beta=105.23 gamma=90.00
Space group Cm (No. 8)
Asymmetric unit:
1 Cu 0.000 0.000 0.000 [2 per cell]
2 Te 0.261 0.000 0.846 [2 per cell]
3 Te 0.488 0.000 0.398 [2 per cell]
4 Mo 0.244 0.500 0.168 [2 per cell]

***

(2)
## La2YNi2 (SCAN)

Data for La2YNi2 at its PBEsol-relaxed geometry.

Output
relative energy among the computed polymorphs	0	kJ/mol of formula units
ΔE_f	-0.214	eV per atom

Unit cell a=7.634 b=7.634 c=3.901 alpha=90.00 beta=90.00 gamma=90.00
Space group P4/mbm (No. 127)
Asymmetric unit:
1 La 0.166 0.334 0.000 [4 per cell]
2 Y 0.000 0.000 0.500 [2 per cell]
3 Ni 0.123 0.623 0.500 [4 per cell]

***

(3)
## Ta2MoW (SCAN)

Data for Ta2MoW at its PBEsol-relaxed geometry.

Output
ΔE_f	-0.098	eV per atom

Unit cell a=3.196 b=4.588 c=8.946 alpha=90.00 beta=90.00 gamma=90.00
Space group Cmmm (No. 65)
Asymmetric unit:
1 Ta 0.000 0.000 0.248 [4 per cell]
2 Mo 0.000 0.500 0.000 [2 per cell]
3 W 0.000 0.500 0.500 [2 per cell]

***

(4)
## KSrNi (SCAN)

Data for KSrNi at its PBEsol-relaxed geometry.

Output
relative energy among the computed polymorphs	0	kJ/mol of formula units
ΔE_f	0.433	eV per atom

Unit cell a=3.731 b=3.731 c=14.867 alpha=90.00 beta=90.00 gamma=90.00
Space group I4mm (No. 107)
Asymmetric unit:
1 K 0.000 0.000 0.000 [2 per cell]
2 Sr 0.000 0.000 0.240 [2 per cell]
3 Ni 0.000 0.000 0.650 [2 per cell]

***

(5)
## MgZnSe4 (SCAN)

Data for MgZnSe4 at its PBEsol-relaxed geometry.

Output
energy relative to the elements, uncorrected	0.432	eV/atom

Unit cell a=8.032 b=8.032 c=8.032 alpha=90.00 beta=90.00 gamma=90.00
Space group F-43m (No. 216)
Asymmetric unit:
1 Mg 0.000 0.000 0.000 [4 per cell]
2 Zn 0.250 0.250 0.250 [4 per cell]
3 Se 0.125 0.125 0.625 [16 per cell]

***

(6)
## Na2MgAu2 (SCAN)

Data for Na2MgAu2 at its PBEsol-relaxed geometry.

Output
ΔE_f	-0.253	eV per atom

Unit cell a=3.906 b=3.906 c=13.981 alpha=90.00 beta=90.00 gamma=90.00
Space group I4/mmm (No. 139)
Asymmetric unit:
1 Na 0.000 0.500 0.250 [4 per cell]
2 Mg 0.000 0.000 0.000 [2 per cell]
3 Au 0.000 0.000 0.406 [4 per cell]

***

(7)
## Cr2NiOs (SCAN)

Data for Cr2NiOs at its PBEsol-relaxed geometry.

Output
ΔE_f	0.097	eV per atom

Unit cell a=2.586 b=3.618 c=5.053 alpha=90.00 beta=90.00 gamma=90.00
Space group Pmmm (No. 47)
Asymmetric unit:
1 Cr 0.000 0.000 0.240 [2 per cell]
2 Ni 0.500 0.500 0.000 [1 per cell]
3 Os 0.500 0.500 0.500 [1 per cell]

***

(8)
## BaPbAu (SCAN)

Data for BaPbAu at its PBEsol-relaxed geometry.

Output
ΔE_f	-0.502	eV per atom

Unit cell a=3.788 b=3.788 c=12.254 alpha=90.00 beta=90.00 gamma=90.00
Space group I4mm (No. 107)
Asymmetric unit:
1 Ba 0.000 0.000 0.000 [2 per cell]
2 Pb 0.000 0.000 0.713 [2 per cell]
3 Au 0.000 0.000 0.329 [2 per cell]

***

(9)
## KCrI3 (SCAN)

Data for KCrI3 at its PBEsol-relaxed geometry.

Output
energy relative to the elements, uncorrected	0.114	eV/atom

Unit cell a=6.212 b=6.212 c=6.212 alpha=90.00 beta=90.00 gamma=90.00
Space group Pm-3m (No. 221)
Asymmetric unit:
1 K 0.000 0.000 0.000 [1 per cell]
2 Cr 0.500 0.500 0.500 [1 per cell]
3 I 0.000 0.000 0.500 [3 per cell]

***

(10)
## RbPt (SCAN)

Data for RbPt at its PBEsol-relaxed geometry.

Output
ΔE_f	0.467	eV per atom

Unit cell a=3.0445 b=3.0445 c=5.4274 alpha=90.00 beta=90.00 gamma=120.00
Space group P-6m2 (No. 187)
Asymmetric unit:
1 Rb 0.0000 0.0000 0.0000 [1 per cell]
2 Pt 0.6667 0.3333 0.5000 [1 per cell]

***

(11)
## BaMg4Zr (SCAN)

Data for BaMg4Zr at its PBEsol-relaxed geometry.

Output
ΔE_f	0.182	eV per atom

Unit cell a=8.541 b=8.541 c=8.541 alpha=90.00 beta=90.00 gamma=90.00
Space group F-43m (No. 216)
Asymmetric unit:
1 Ba 0.000 0.000 0.000 [4 per cell]
2 Mg 0.123 0.123 0.377 [16 per cell]
3 Zr 0.250 0.250 0.750 [4 per cell]

***

(12)
## BaHgPt (SCAN)

Data for BaHgPt at its PBEsol-relaxed geometry.

Output
ΔE_f	-0.701	eV per atom

Unit cell a=4.7447 b=4.7447 c=4.2699 alpha=90.00 beta=90.00 gamma=120.00
Space group P-6m2 (No. 187)
Asymmetric unit:
1 Ba 0.0000 0.0000 0.0000 [1 per cell]
2 Hg 0.3333 0.6667 0.5000 [1 per cell]
3 Pt 0.6667 0.3333 0.5000 [1 per cell]

***

(13)
## V2Cu3O9 (SCAN)

Data for V2Cu3O9 at its PBEsol-relaxed geometry.

Output
energy relative to the elements, uncorrected	-1.499	eV/atom

Unit cell a=7.402 b=6.487 c=7.616 alpha=90.00 beta=92.95 gamma=90.00
Space group P2_1/m (No. 11)
Asymmetric unit:
1 V 0.165 0.250 0.298 [2 per cell]
2 V 0.236 0.250 0.845 [2 per cell]
3 Cu 0.173 0.750 0.412 [2 per cell]
4 Cu 0.335 0.750 0.801 [2 per cell]
5 Cu 0.500 0.000 0.500 [2 per cell]
6 O 0.038 0.250 0.732 [2 per cell]
7 O 0.051 0.750 0.659 [2 per cell]
8 O 0.193 0.250 0.071 [2 per cell]
9 O 0.265 0.030 0.392 [4 per cell]
10 O 0.271 0.750 0.018 [2 per cell]
11 O 0.362 0.035 0.800 [4 per cell]
12 O 0.403 0.750 0.566 [2 per cell]

***

Number 1: D(E_F) 0.14 states/eV per atom, magnetization 1.01 μB per formula unit. Number 2: D(E_F) 0.81 states/eV per atom, magnetization 0.00 μB per formula unit. Number 3: D(E_F) 0.74 states/eV per atom, magnetization 0.00 μB per formula unit. Number 4: D(E_F) 0.64 states/eV per atom, magnetization 0.00 μB per formula unit. Number 5: D(E_F) 0.53 states/eV per atom, magnetization 0.00 μB per formula unit. Number 6: D(E_F) 0.33 states/eV per atom, magnetization 0.00 μB per formula unit. Number 7: D(E_F) 1.00 states/eV per atom, magnetization 0.00 μB per formula unit. Number 8: D(E_F) 0.61 states/eV per atom, magnetization 0.00 μB per formula unit. Number 9: D(E_F) 2.12 states/eV per atom, magnetization 3.94 μB per formula unit. Number 10: D(E_F) 0.43 states/eV per atom, magnetization 0.00 μB per formula unit. Number 11: D(E_F) 0.73 states/eV per atom, magnetization 0.55 μB per formula unit. Number 12: D(E_F) 0.34 states/eV per atom, magnetization 0.00 μB per formula unit. Number 13: D(E_F) 0.11 states/eV per atom, magnetization 1.01 μB per formula unit.